Record 1
! RbLi2VF8, relaxed, DFT PBE with a Hubbard U; values from VASP
! Crystal system = triclinic
&SYSTEM
  ibrav = 0, nat = 12, ntyp = 4
/
ATOMIC_SPECIES
Rb 85.47 Rb.upf
Li 6.94 Li.upf
V 50.94 V.upf
F 19.00 F.upf
ATOMIC_POSITIONS crystal
Rb 0.000 0.000 0.000
Li 0.499 0.499 0.831
Li 0.501 0.501 0.169
V 0.000 0.000 0.500
F 0.218 0.779 0.668
F 0.222 0.221 0.499
F 0.222 0.783 0.332
F 0.340 0.337 0.004
F 0.660 0.663 0.996
F 0.778 0.217 0.668
F 0.778 0.779 0.501
F 0.782 0.221 0.332
CELL_PARAMETERS angstrom
4.988 0.000 0.000
1.495 4.789 0.000
0.095 0.070 7.707

Record 2
! Rb2Li3VF12, relaxed, DFT PBE with a Hubbard U; values from VASP
! Crystal system = trigonal
&SYSTEM
  ibrav = 0, nat = 18, ntyp = 4
/
ATOMIC_SPECIES
Rb 85.47 Rb.upf
Li 6.94 Li.upf
V 50.94 V.upf
F 19.00 F.upf
ATOMIC_POSITIONS crystal
Rb 0.101 0.101 0.101
Rb 0.899 0.899 0.899
Li 0.000 0.500 0.500
Li 0.500 0.000 0.500
Li 0.500 0.500 0.000
V 0.500 0.500 0.500
F 0.175 0.175 0.572
F 0.175 0.572 0.175
F 0.202 0.570 0.570
F 0.428 0.825 0.825
F 0.430 0.430 0.798
F 0.430 0.798 0.430
F 0.570 0.202 0.570
F 0.570 0.570 0.202
F 0.572 0.175 0.175
F 0.798 0.430 0.430
F 0.825 0.428 0.825
F 0.825 0.825 0.428
CELL_PARAMETERS angstrom
3.522 2.033 6.506
-3.522 2.033 6.506
0.000 -4.067 6.506

Record 3
! RbLiWF6, relaxed, DFT PBE with a Hubbard U; values from VASP
! Crystal system = trigonal
&SYSTEM
  ibrav = 0, nat = 18, ntyp = 4
/
ATOMIC_SPECIES
Rb 85.47 Rb.upf
Li 6.94 Li.upf
W 183.84 W.upf
F 19.00 F.upf
ATOMIC_POSITIONS crystal
Rb 0.000 0.000 0.000
Rb 0.000 0.000 0.500
Li 0.333 0.667 0.250
Li 0.667 0.333 0.750
W 0.333 0.667 0.750
W 0.667 0.333 0.250
F 0.010 0.379 0.659
F 0.010 0.631 0.841
F 0.369 0.379 0.841
F 0.369 0.990 0.659
F 0.379 0.010 0.159
F 0.379 0.369 0.341
F 0.621 0.631 0.659
F 0.621 0.990 0.841
F 0.631 0.010 0.341
F 0.631 0.621 0.159
F 0.990 0.369 0.159
F 0.990 0.621 0.341
CELL_PARAMETERS angstrom
5.506 0.000 0.000
-2.753 4.769 0.000
0.000 0.000 12.172

Record 4
! Rb2Li3WF12, relaxed, DFT PBE with a Hubbard U; values from VASP
! Crystal system = trigonal
&SYSTEM
  ibrav = 0, nat = 18, ntyp = 4
/
ATOMIC_SPECIES
Rb 85.47 Rb.upf
Li 6.94 Li.upf
W 183.84 W.upf
F 19.00 F.upf
ATOMIC_POSITIONS crystal
Rb 0.081 0.081 0.081
Rb 0.919 0.919 0.919
Li 0.000 0.500 0.500
Li 0.500 0.000 0.500
Li 0.500 0.500 0.000
W 0.500 0.500 0.500
F 0.178 0.178 0.574
F 0.178 0.574 0.178
F 0.198 0.573 0.573
F 0.426 0.822 0.822
F 0.427 0.427 0.802
F 0.427 0.802 0.427
F 0.573 0.198 0.573
F 0.573 0.573 0.198
F 0.574 0.178 0.178
F 0.802 0.427 0.427
F 0.822 0.426 0.822
F 0.822 0.822 0.426
CELL_PARAMETERS angstrom
3.577 2.065 6.797
-3.577 2.065 6.797
0.000 -4.130 6.797

Record 5
! RbLi2WF8, relaxed, DFT PBE with a Hubbard U; values from VASP
! Crystal system = trigonal
&SYSTEM
  ibrav = 0, nat = 12, ntyp = 4
/
ATOMIC_SPECIES
Rb 85.47 Rb.upf
Li 6.94 Li.upf
W 183.84 W.upf
F 19.00 F.upf
ATOMIC_POSITIONS crystal
Rb 0.000 0.000 0.000
Li 0.265 0.265 0.265
Li 0.735 0.735 0.735
W 0.500 0.500 0.500
F 0.116 0.622 0.622
F 0.341 0.341 0.341
F 0.378 0.378 0.884
F 0.378 0.884 0.378
F 0.622 0.116 0.622
F 0.622 0.622 0.116
F 0.659 0.659 0.659
F 0.884 0.378 0.378
CELL_PARAMETERS angstrom
2.767 1.598 7.562
-2.767 1.598 7.562
0.000 -3.196 7.562

These records have energy values of -59.10 -80.68 -92.26 -81.69 -59.12 eV for the cell shown, in the order they appear.